The following is a DFT calculation (PBE) of a geometry-optimized BaHfPd3 structure.

Cell lengths 5.093, 5.093, 5.093 Å; angles 90.00, 90.00, 90.00 degrees
Atoms (fractional coordinates):
Ba (0.000, 0.000, 0.000)
Hf (0.500, 0.500, 0.500)
Pd (0.000, 0.500, 0.500)
Pd (0.500, 0.000, 0.500)
Pd (0.500, 0.500, 0.000)

formation energy = -0.15 eV per atom
space-group type = Pm-3m (221)